Entry 1:
TiMnV2, relaxed, DFT GGA-PBE; crystal system = cubic; formation energy from the elements = -0.037 eV/atom
1.0
-3.533 -0.321 -2.276
0.156 -1.516 -3.930
-1.615 -3.797 -0.859
Mn V Ti
1 2 1
Direct
0.000 0.000 0.000 Mn
0.750 0.750 0.750 V
0.250 0.250 0.250 V
0.500 0.500 0.500 Ti

***

Entry 2:
NaMnAs3, relaxed, DFT GGA-PBE; crystal system = cubic; formation energy from the elements = 0.099 eV/atom
1.0
4.762 0.000 0.000
0.000 4.762 0.000
0.000 0.000 4.762
As Na Mn
3 1 1
Direct
0.000 0.000 0.500 As
0.000 0.500 0.000 As
0.500 0.000 0.000 As
0.500 0.500 0.500 Na
0.000 0.000 0.000 Mn

***

Entry 3:
Na3BPt3Au2, relaxed, DFT GGA-PBE; crystal system = hexagonal; formation energy from the elements = -0.193 eV/atom
1.0
-1.908 1.901 1.003
1.748 -2.096 7.296
3.939 5.771 -3.444
Pt Na Au B
3 3 2 1
Direct
0.500 0.000 0.782 Pt
0.500 0.218 0.218 Pt
0.500 0.782 0.000 Pt
0.000 0.613 0.613 Na
0.000 0.000 0.387 Na
0.000 0.387 0.000 Na
0.500 0.333 0.667 Au
0.500 0.667 0.333 Au
0.000 0.000 0.000 B

***

Entry 4:
CeHoAgSb, relaxed, DFT GGA-PBE; crystal system = cubic; formation energy (no corrections) = -0.50 eV/atom
1.0
5.290 0.000 0.000
2.645 4.581 0.000
2.645 1.527 4.319
Ce Ag Sb Ho
1 1 1 1
Direct
0.500 0.500 0.500 Ce
0.250 0.250 0.250 Ag
0.750 0.750 0.750 Sb
0.000 0.000 0.000 Ho

***

Number 1: VASP energy -8.8624 eV per atom. Number 2: VASP energy -4.7886 eV per atom. Number 3: VASP energy -4.1169 eV per atom. Number 4: VASP energy -4.8691 eV per atom.